[1]
A plane-wave DFT calculation with SCAN was carried out for K2CrPb at its PBEsol-relaxed geometry.

Summary:
DFT formation energy: 0.13 eV/atom
Magnetization: 1.092 μB per atom

a = 3.840 Å, b = 3.840 Å, c = 10.061 Å
α = 90.00°, β = 90.00°, γ = 90.00°
Sites, in units of the cell vectors:
K: 0.000 0.000 0.000
K: 0.500 0.500 0.397
Cr: 0.500 0.500 0.742
Pb: 0.000 0.000 0.644


[2]
A plane-wave DFT calculation with SCAN was carried out for K2CrPd at its PBEsol-relaxed geometry.

Summary:
DFT formation energy: 0.62 eV/atom
Magnetization: 1.455 μB per atom

a = 5.443 Å, b = 5.443 Å, c = 5.443 Å
α = 60.00°, β = 60.00°, γ = 60.00°
Sites, in units of the cell vectors:
K: 0.250 0.250 0.250
K: 0.750 0.750 0.750
Cr: 0.000 0.000 0.000
Pd: 0.500 0.500 0.500


[3]
A plane-wave DFT calculation with SCAN was carried out for KCr2Pd2 at its PBEsol-relaxed geometry.

Summary:
DFT formation energy: 0.69 eV/atom
Magnetization: 0.000 μB per atom

a = 5.425 Å, b = 5.425 Å, c = 5.425 Å
α = 131.16°, β = 131.16°, γ = 71.56°
Sites, in units of the cell vectors:
K: 0.000 0.000 0.000
Cr: 0.397 0.397 0.000
Cr: 0.603 0.603 0.000
Pd: 0.250 0.750 0.500
Pd: 0.750 0.250 0.500


[4]
A plane-wave DFT calculation with SCAN was carried out for KCr2Pt at its PBEsol-relaxed geometry.

Summary:
Offset from the most stable computed form: 0.0 meV per atom
DFT formation energy: 0.22 eV/atom
Magnetization: 0.226 μB per atom

a = 2.932 Å, b = 2.932 Å, c = 8.280 Å
α = 90.00°, β = 90.00°, γ = 90.00°
Sites, in units of the cell vectors:
K: 0.000 0.000 0.000
Cr: 0.000 0.000 0.503
Cr: 0.500 0.500 0.647
Pt: 0.500 0.500 0.303


[5]
A plane-wave DFT calculation with SCAN was carried out for KCrPt4 at its PBEsol-relaxed geometry.

Summary:
DFT formation energy: -0.12 eV/atom
Magnetization: 0.725 μB per atom

a = 5.307 Å, b = 5.307 Å, c = 5.307 Å
α = 60.00°, β = 60.00°, γ = 60.00°
Sites, in units of the cell vectors:
K: 0.000 0.000 0.000
Cr: 0.750 0.750 0.750
Pt: 0.375 0.375 0.375
Pt: 0.375 0.375 0.874
Pt: 0.375 0.874 0.375
Pt: 0.874 0.375 0.375


[6]
A plane-wave DFT calculation with SCAN was carried out for KCr2Pt at its PBEsol-relaxed geometry.

Summary:
Offset from the most stable computed form: 74.8 meV per atom
DFT formation energy: 0.30 eV/atom
Magnetization: 2.220 μB per atom

a = 3.152 Å, b = 3.152 Å, c = 8.519 Å
α = 90.00°, β = 90.00°, γ = 90.00°
Sites, in units of the cell vectors:
K: 0.000 0.000 0.000
Cr: 0.500 0.500 0.333
Cr: 0.500 0.500 0.667
Pt: 0.000 0.000 0.500


[7]
A plane-wave DFT calculation with SCAN was carried out for KCrPt2 at its PBEsol-relaxed geometry.

Summary:
DFT formation energy: -0.19 eV/atom
Magnetization: 0.787 μB per atom

a = 2.918 Å, b = 2.918 Å, c = 8.376 Å
α = 90.00°, β = 90.00°, γ = 90.00°
Sites, in units of the cell vectors:
K: 0.000 0.000 0.000
Cr: 0.000 0.000 0.500
Pt: 0.500 0.500 0.313
Pt: 0.500 0.500 0.687


[8]
A plane-wave DFT calculation with SCAN was carried out for KCr2Pt at its PBEsol-relaxed geometry.

Summary:
Offset from the most stable computed form: 62.7 meV per atom
DFT formation energy: 0.28 eV/atom
Magnetization: 0.041 μB per atom

a = 4.637 Å, b = 4.637 Å, c = 6.934 Å
α = 98.91°, β = 98.91°, γ = 35.43°
Sites, in units of the cell vectors:
K: 0.000 0.000 0.000
Cr: 0.499 0.499 0.497
Cr: 0.806 0.806 0.404
Pt: 0.225 0.225 0.671


[9]
A plane-wave DFT calculation with SCAN was carried out for KCrPt2 at its PBEsol-relaxed geometry.

Summary:
DFT formation energy: 0.28 eV/atom
Magnetization: 0.934 μB per atom

a = 5.038 Å, b = 5.038 Å, c = 2.766 Å
α = 90.00°, β = 90.00°, γ = 90.00°
Sites, in units of the cell vectors:
K: 0.000 0.000 0.000
Cr: 0.500 0.500 0.000
Pt: 0.000 0.500 0.500
Pt: 0.500 0.000 0.500


[10]
A plane-wave DFT calculation with SCAN was carried out for KRb3Cr at its PBEsol-relaxed geometry.

Summary:
DFT formation energy: 0.43 eV/atom
Magnetization: 1.146 μB per atom

a = 7.122 Å, b = 7.122 Å, c = 7.122 Å
α = 90.00°, β = 90.00°, γ = 90.00°
Sites, in units of the cell vectors:
K: 0.000 0.000 0.000
Rb: 0.000 0.500 0.500
Rb: 0.500 0.000 0.500
Rb: 0.500 0.500 0.000
Cr: 0.500 0.500 0.500


[11]
A plane-wave DFT calculation with SCAN was carried out for KRbCrSb2 at its PBEsol-relaxed geometry.

Summary:
Raw formation energy: 1.071 eV per atom
Magnetization: 0.870 μB per atom

a = 6.039 Å, b = 6.039 Å, c = 5.611 Å
α = 90.00°, β = 90.00°, γ = 90.00°
Sites, in units of the cell vectors:
K: 0.000 0.000 0.000
Rb: 0.000 0.000 0.500
Cr: 0.500 0.500 0.000
Sb: 0.000 0.500 0.500
Sb: 0.500 0.000 0.500


[12]
A plane-wave DFT calculation with SCAN was carried out for KCrRe2 at its PBEsol-relaxed geometry.

Summary:
Offset from the most stable computed form: 124.6 meV per atom
DFT formation energy: 0.91 eV/atom
Magnetization: 0.001 μB per atom

a = 2.638 Å, b = 3.679 Å, c = 8.183 Å
α = 90.00°, β = 90.00°, γ = 90.00°
Sites, in units of the cell vectors:
K: 0.000 0.000 0.000
Cr: 0.000 0.000 0.500
Re: 0.500 0.500 0.351
Re: 0.500 0.500 0.649